No. 1
First-principles (PBE) data for a geometry-optimized ThGeI6 structure, as listed in Alexandria.

Computed properties:
size of the total moment	0.000	μB per cell
calculated volume	431.84	Å³ per cell
VASP energy	-3.534	eV/atom
crystal system	monoclinic
energy relative to the elements, uncorrected	-866	meV/atom
energy above the most stable polymorph in this dataset	0.0000	eV/atom

Lattice parameters (Å, degrees): 8.077 8.077 7.639 90.30 90.30 119.93
Element x y z (fractional)
Th: 0.000 0.000 0.000
Ge: 0.000 0.000 0.500
I: 0.000 0.298 0.255
I: 0.000 0.702 0.745
I: 0.298 0.000 0.255
I: 0.298 0.298 0.750
I: 0.702 0.000 0.745
I: 0.702 0.702 0.250

No. 2
First-principles (PBE) data for a geometry-optimized CuSi2Hg2 structure, as listed in Alexandria.

Computed properties:
size of the total moment	0.000	μB per cell
calculated volume	202.89	Å³ per cell
VASP energy	-2.516	eV/atom
crystal system	tetragonal
energy relative to the elements, uncorrected	594	meV/atom
energy above the most stable polymorph in this dataset	0.3541	eV/atom

Lattice parameters (Å, degrees): 7.267 7.267 3.842 90.00 90.00 90.00
Element x y z (fractional)
Cu: 0.000 0.000 0.000
Cu: 0.500 0.500 0.000
Si: 0.117 0.383 0.500
Si: 0.383 0.883 0.500
Si: 0.617 0.117 0.500
Si: 0.883 0.617 0.500
Hg: 0.186 0.686 0.000
Hg: 0.314 0.186 0.000
Hg: 0.686 0.814 0.000
Hg: 0.814 0.314 0.000

No. 3
First-principles (PBE) data for a geometry-optimized OF structure, as listed in Alexandria.

Computed properties:
size of the total moment	2.611	μB per cell
calculated volume	104.11	Å³ per cell
VASP energy	-3.295	eV/atom
crystal system	orthorhombic
energy relative to the elements, uncorrected	120	meV/atom
energy above the most stable polymorph in this dataset	0.2651	eV/atom

Lattice parameters (Å, degrees): 6.396 6.185 4.381 72.22 67.06 40.72
Element x y z (fractional)
O: 0.022 0.228 0.228
O: 0.228 0.022 0.022
O: 0.772 0.978 0.978
O: 0.978 0.772 0.772
F: 0.225 0.225 0.525
F: 0.475 0.475 0.775
F: 0.525 0.525 0.225
F: 0.775 0.775 0.475

No. 4
First-principles (PBE) data for a geometry-optimized TbNd5Tl structure, as listed in Alexandria.

Computed properties:
energy of formation from the pure elements	0.258	eV per atom
size of the total moment	0.608	μB per cell
calculated volume	245.47	Å³ per cell
VASP energy	-4.147	eV/atom
crystal system	tetragonal

Lattice parameters (Å, degrees): 5.699 5.699 7.557 90.00 90.00 90.00
Element x y z (fractional)
Tb: 0.000 0.000 0.000
Nd: 0.000 0.500 0.242
Nd: 0.000 0.500 0.758
Nd: 0.500 0.000 0.242
Nd: 0.500 0.000 0.758
Nd: 0.500 0.500 0.500
Tl: 0.000 0.000 0.500